Arrangement one

This record from the Alexandria database describes a relaxed structure of TiGe2Mo. The functional is PBE-GGA.

Cell lengths 4.4541, 4.4541, 4.4541 Å; angles 60.00, 60.00, 60.00 degrees
Fractional coordinates of all 4 atoms:
Ti: 0.0000 0.0000 0.0000
Ge: 0.2500 0.2500 0.2500
Ge: 0.7500 0.7500 0.7500
Mo: 0.5000 0.5000 0.5000

- SG: Fm-3m, No. 225

***

Arrangement two

This record from the Alexandria database describes a relaxed structure of TiGe2Mo. The functional is PBE-GGA.

Cell lengths 6.6195, 6.6195, 6.6195 Å; angles 31.09, 31.09, 31.09 degrees
Fractional coordinates of all 4 atoms:
Ti: 0.0000 0.0000 0.0000
Ge: 0.4135 0.4135 0.4135
Ge: 0.5780 0.5780 0.5780
Mo: 0.8255 0.8255 0.8255

- SG: R3m, No. 160

***

Each structure's energy above the most stable one, in meV per atom: arrangement one 50; arrangement two 0.